## PaSnTeN2 (GGA-PBE)

Data for PaSnTeN2 after structural relaxation.

The structure in extended XYZ format:
```
10
Lattice="4.0264 0.0000 0.0000 0.0000 6.6354 -0.2207 0.0000 -1.7074 8.0680" Properties=species:S:1:pos:R:3 pbc="T T T"
Pa 1.0066 3.6349 3.0214
Pa 3.0198 1.2931 4.8258
Sn 1.0066 2.9374 7.5790
Sn 3.0198 1.9906 0.2682
Te 1.0066 -1.1071 5.8752
Te 3.0198 6.0351 1.9720
N 3.0198 2.8509 3.1911
N 1.0066 2.0771 4.6561
N 3.0198 2.0288 6.9472
N 1.0066 2.8992 0.9000
```

Results
Energy relative to the elements, uncorrected ... -731.8 meV/atom
Total DFT energy (no corrections) ... -7.390 eV/atom
Mass density ... 7842 kg/m3